# GGA-PBE Ti3ZnC, optimized geometry
data_Ti3ZnC
_symmetry_space_group_name_H-M 'C 1 m 1'
_symmetry_Int_Tables_number 8
_cell_length_a 19.230
_cell_length_b 3.023
_cell_length_c 5.157
_cell_angle_alpha 90.00
_cell_angle_beta 105.23
_cell_angle_gamma 90.00
loop_
_symmetry_equiv_pos_as_xyz
'x,y,z'
'x,-y,z'
'x+1/2,y+1/2,z'
'x+1/2,-y+1/2,z'
loop_
_atom_site_label
_atom_site_type_symbol
_atom_site_fract_x
_atom_site_fract_y
_atom_site_fract_z
Ti1 Ti 0.000 0.000 0.000
Ti2 Ti 0.000 0.500 0.497
Ti3 Ti 0.127 0.000 0.493
Ti4 Ti 0.244 0.000 0.287
Ti5 Ti 0.372 0.000 0.042
Ti6 Ti 0.373 0.500 0.540
Zn1 Zn 0.125 0.500 0.967
Zn2 Zn 0.248 0.500 0.771
C1 C 0.435 0.500 0.267
C2 C 0.437 0.000 0.773
# E_tot	-7.244	eV per atom
# distance to the lowest polymorph of the same formula	1.84	kcal/mol of atoms
# energy of formation from the pure elements	-0.41	eV/atom

=====

# GGA-PBE TiZn3C, optimized geometry
data_TiZn3C
_symmetry_space_group_name_H-M 'P m -3 m'
_symmetry_Int_Tables_number 221
_symmetry_space_group_name_Hall '-P 4 2 3'
_cell_length_a 4.155
_cell_length_b 4.155
_cell_length_c 4.155
_cell_angle_alpha 90.00
_cell_angle_beta 90.00
_cell_angle_gamma 90.00
loop_
_atom_site_label
_atom_site_type_symbol
_atom_site_fract_x
_atom_site_fract_y
_atom_site_fract_z
Ti1 Ti 0.000 0.000 0.000
Zn1 Zn 0.000 0.500 0.500
C1 C 0.500 0.500 0.500
# E_tot	-3.453	eV per atom
# distance to the lowest polymorph of the same formula	0.00	kcal/mol of atoms
# energy of formation from the pure elements	0.74	eV/atom

=====

# GGA-PBE TiZn2C2, optimized geometry
data_TiZn2C2
_symmetry_space_group_name_H-M 'P 4/m b m'
_symmetry_Int_Tables_number 127
_symmetry_space_group_name_Hall '-P 4 2ab'
_cell_length_a 6.452
_cell_length_b 6.452
_cell_length_c 2.674
_cell_angle_alpha 90.00
_cell_angle_beta 90.00
_cell_angle_gamma 90.00
loop_
_atom_site_label
_atom_site_type_symbol
_atom_site_fract_x
_atom_site_fract_y
_atom_site_fract_z
Ti1 Ti 0.000 0.000 0.000
Zn1 Zn 0.127 0.373 0.000
C1 C 0.184 0.684 0.500
# E_tot	-4.517	eV per atom
# distance to the lowest polymorph of the same formula	16.45	kcal/mol of atoms
# energy of formation from the pure elements	1.26	eV/atom

=====

# GGA-PBE Ti2ZnC, optimized geometry
data_Ti2ZnC
_symmetry_space_group_name_H-M 'R -3 m'
_symmetry_Int_Tables_number 166
_symmetry_space_group_name_Hall '-R 3 2"'
_cell_length_a 3.0595
_cell_length_b 3.0595
_cell_length_c 20.4029
_cell_angle_alpha 90.00
_cell_angle_beta 90.00
_cell_angle_gamma 120.00
loop_
_atom_site_label
_atom_site_type_symbol
_atom_site_fract_x
_atom_site_fract_y
_atom_site_fract_z
Ti1 Ti 0.0000 0.0000 0.2232
Zn1 Zn 0.0000 0.0000 0.0000
C1 C 0.0000 0.0000 0.5000
# E_tot	-7.137	eV per atom
# energy of formation from the pure elements	-0.56	eV/atom

=====

# GGA-PBE TiZn2C2, optimized geometry
data_TiZn2C2
_symmetry_space_group_name_H-M 'I 4/m m m'
_symmetry_Int_Tables_number 139
_symmetry_space_group_name_Hall '-I 4 2'
_cell_length_a 3.386
_cell_length_b 3.386
_cell_length_c 9.643
_cell_angle_alpha 90.00
_cell_angle_beta 90.00
_cell_angle_gamma 90.00
loop_
_atom_site_label
_atom_site_type_symbol
_atom_site_fract_x
_atom_site_fract_y
_atom_site_fract_z
Ti1 Ti 0.000 0.000 0.000
Zn1 Zn 0.000 0.500 0.250
C1 C 0.000 0.000 0.427
# E_tot	-5.230	eV per atom
# distance to the lowest polymorph of the same formula	0.00	kcal/mol of atoms
# energy of formation from the pure elements	0.55	eV/atom

=====

# GGA-PBE Ti3ZnC, optimized geometry
data_Ti3ZnC
_symmetry_space_group_name_H-M 'C m c m'
_symmetry_Int_Tables_number 63
_symmetry_space_group_name_Hall '-C 2c 2'
_cell_length_a 5.804
_cell_length_b 8.262
_cell_length_c 5.975
_cell_angle_alpha 90.00
_cell_angle_beta 90.00
_cell_angle_gamma 90.00
loop_
_atom_site_label
_atom_site_type_symbol
_atom_site_fract_x
_atom_site_fract_y
_atom_site_fract_z
Ti1 Ti 0.000 0.249 0.250
Ti2 Ti 0.248 0.000 0.000
Zn1 Zn 0.000 0.242 0.750
C1 C 0.000 0.500 0.250
# E_tot	-7.104	eV per atom
# distance to the lowest polymorph of the same formula	5.07	kcal/mol of atoms
# energy of formation from the pure elements	-0.27	eV/atom

=====

# GGA-PBE Ti3ZnC, optimized geometry
data_Ti3ZnC
_symmetry_space_group_name_H-M 'P m -3 m'
_symmetry_Int_Tables_number 221
_symmetry_space_group_name_Hall '-P 4 2 3'
_cell_length_a 4.169
_cell_length_b 4.169
_cell_length_c 4.169
_cell_angle_alpha 90.00
_cell_angle_beta 90.00
_cell_angle_gamma 90.00
loop_
_atom_site_label
_atom_site_type_symbol
_atom_site_fract_x
_atom_site_fract_y
_atom_site_fract_z
Ti1 Ti 0.000 0.000 0.500
Zn1 Zn 0.500 0.500 0.500
C1 C 0.000 0.000 0.000
# E_tot	-7.324	eV per atom
# distance to the lowest polymorph of the same formula	0.00	kcal/mol of atoms
# energy of formation from the pure elements	-0.49	eV/atom

=====

# GGA-PBE Ti3ZnC, optimized geometry
data_Ti3ZnC
_symmetry_space_group_name_H-M 'C 1 2/c 1'
_symmetry_Int_Tables_number 15
_cell_length_a 11.736
_cell_length_b 11.549
_cell_length_c 4.331
_cell_angle_alpha 90.00
_cell_angle_beta 103.94
_cell_angle_gamma 90.00
loop_
_symmetry_equiv_pos_as_xyz
'x,y,z'
'-x,-y,-z'
'-x,y,-z+1/2'
'x,-y,z+1/2'
'x+1/2,y+1/2,z'
'-x+1/2,-y+1/2,-z'
'-x+1/2,y+1/2,-z+1/2'
'x+1/2,-y+1/2,z+1/2'
loop_
_atom_site_label
_atom_site_type_symbol
_atom_site_fract_x
_atom_site_fract_y
_atom_site_fract_z
Ti1 Ti 0.089 0.090 0.074
Ti2 Ti 0.163 0.271 0.734
Ti3 Ti 0.215 0.425 0.293
Zn1 Zn 0.000 0.318 0.250
Zn2 Zn 0.000 0.441 0.750
C1 C 0.101 0.098 0.583
# E_tot	-7.091	eV per atom
# distance to the lowest polymorph of the same formula	5.37	kcal/mol of atoms
# energy of formation from the pure elements	-0.25	eV/atom